The following is a DFT calculation (GGA-PBE) of a relaxed structure of LiTl2SeF6.

Values from the calculation:
V, A^3/atom: 16.384
Energy, eV/atom: -3.99
Formation energy (no corrections), kcal/mol of atoms: -42.67

```
data_LiTl2SeF6
_cell_length_a 8.2315
_cell_length_b 8.2302
_cell_length_c 6.3456
_cell_angle_alpha 90.00
_cell_angle_beta 130.34
_cell_angle_gamma 90.00
_symmetry_space_group_name_H-M 'C 1 2/m 1'
_symmetry_Int_Tables_number 12
loop_
_symmetry_equiv_pos_as_xyz
'x,y,z'
'-x,-y,-z'
'-x,y,-z'
'x,-y,z'
'x+1/2,y+1/2,z'
'-x+1/2,-y+1/2,-z'
'-x+1/2,y+1/2,-z'
'x+1/2,-y+1/2,z'
loop_
_atom_site_label
_atom_site_type_symbol
_atom_site_fract_x
_atom_site_fract_y
_atom_site_fract_z
Li1 Li 0.0000 0.0000 0.0000
Tl1 Tl 0.0000 0.2496 0.5000
Se1 Se 0.0000 0.5000 0.0000
F1 F 0.0000 0.2631 0.0000
F2 F 0.2083 0.0000 0.4180
F3 F 0.2372 0.5000 0.0004
```